LiCePaN3: optimized geometry, PBE-GGA.

a b c (Å): 13.1495 3.7611 6.6986
angles (deg): 90.00 104.52 90.00
With the nearest neighbours (Å) after each atom.
Space group C2/m (No. 12)
Unique sites:
Li 0.0021 0.0000 0.2582 [4 per cell]  2 N 1.91
Ce 0.1459 0.5000 0.5742 [4 per cell]  1 N 2.27
Pa 0.1429 0.5000 0.0720 [4 per cell]  7 N 2.25-2.52
N 0.0014 0.5000 0.7903 [4 per cell]  2 Li 1.91
N 0.1763 0.0000 0.3264 [4 per cell]  1 Li 2.22, 1 Ce 2.27
N 0.1803 0.0000 0.8502 [4 per cell]  3 Pa 2.25-2.52, 1 Li 2.33

formation energy (no corrections)	-1.325	eV per atom

CrCo2Mo: optimized geometry, PBE-GGA.

a b c (Å): 3.6258 3.6258 3.6369
angles (deg): 90.00 90.00 90.00
With the nearest neighbours (Å) after each atom.
Space group P4/mmm (No. 123)
Unique sites:
Cr 0.0000 0.0000 0.0000 [1 per cell]  4 Mo 2.56, 8 Co 2.57
Co 0.0000 0.5000 0.5000 [2 per cell]  4 Co 2.56, 4 Cr 2.57, 4 Mo 2.57
Mo 0.5000 0.5000 0.0000 [1 per cell]  4 Cr 2.56, 8 Co 2.57

calculated formation energy	37	meV/atom

Li6Sm2Ga3: optimized geometry, PBE-GGA.

a b c (Å): 7.6156 7.6156 4.4127
angles (deg): 90.00 90.00 120.00
With the nearest neighbours (Å) after each atom.
Space group P-62m (No. 189)
Unique sites:
Li 0.0000 0.2411 0.0000 [3 per cell]  3 Ga 2.59-2.77, 4 Li 2.80
Li 0.0000 0.7906 0.5000 [3 per cell]  2 Ga 2.72, 6 Li 2.76-2.80
Sm 0.3333 0.6667 0.5000 [2 per cell]  3 Li 3.12, 6 Ga 3.18
Ga 0.0000 0.5815 0.0000 [3 per cell]  5 Li 2.59-2.77

calculated formation energy	-221	meV/atom

Cs2InGeBr5: optimized geometry, PBE-GGA.

a b c (Å): 4.5125 20.2795 16.4267
angles (deg): 90.00 90.00 90.00
With the nearest neighbours (Å) after each atom.
Space group Cmc2_1 (No. 36)
Unique sites:
Cs 0.0000 0.0836 0.0000 [4 per cell]  6 Br 3.53-3.72
Cs 0.0000 0.1432 0.6483 [4 per cell]  8 Br 3.66-3.91
In 0.0000 0.4579 0.8067 [4 per cell]  4 Br 3.09-3.18
Ge 0.0000 0.2243 0.3810 [4 per cell]  6 Br 2.77-2.96
Br 0.0000 0.0898 0.4287 [4 per cell]  1 Ge 2.84, 2 In 3.17
Br 0.0000 0.2595 0.9951 [4 per cell]  2 Ge 2.95
Br 0.0000 0.3038 0.7701 [4 per cell]  2 Ge 2.96, 1 In 3.18
Br 0.0000 0.3558 0.3363 [4 per cell]  1 Ge 2.77
Br 0.0000 0.4976 0.1265 [4 per cell]  1 In 3.09

formation energy (no corrections)	-1.100	eV per atom

Cu3HgRu: optimized geometry, PBE-GGA.

a b c (Å): 4.6875 4.6875 4.6875
angles (deg): 90.00 90.00 90.00
With the nearest neighbours (Å) after each atom.
Space group Pm-3m (No. 221)
Unique sites:
Cu 0.0000 0.0000 0.5000 [3 per cell]  2 Ru 2.34
Hg 0.5000 0.5000 0.5000 [1 per cell]  12 Cu 3.31
Ru 0.0000 0.0000 0.0000 [1 per cell]  6 Cu 2.34

calculated formation energy	1162	meV/atom

PrLuInAu: optimized geometry, PBE-GGA.

a b c (Å): 7.4749 7.4749 7.4749
angles (deg): 90.00 90.00 90.00
With the nearest neighbours (Å) after each atom.
Space group F-43m (No. 216)
Unique sites:
Pr 0.0000 0.0000 0.0000 [4 per cell]  4 In 3.24, 4 Au 3.24
Lu 0.0000 0.0000 0.5000 [4 per cell]  4 In 3.24, 4 Au 3.24
In 0.2500 0.2500 0.2500 [4 per cell]  4 Pr 3.24, 4 Lu 3.24
Au 0.2500 0.2500 0.7500 [4 per cell]  4 Pr 3.24, 4 Lu 3.24

calculated formation energy	-565	meV/atom

Calculated final energy in order - -8.38; -8.63; -2.95; -3.04; -3.21; -4.39 eV/atom
Calculated total magnetic moment in order - 0.68; 0.00; 0.00; 0.00; 2.04; 0.00 μB per formula unit